[1]
! ReOsRh GGA-PBEsol optimized geometry; values from VASP
&SYSTEM
  ibrav = 0, nat = 6, ntyp = 3
/
ATOMIC_SPECIES
Re 186.21 Re.upf
Os 190.23 Os.upf
Rh 102.91 Rh.upf
CELL_PARAMETERS angstrom
3.2310 0.0000 0.0000
0.0000 3.2310 0.0000
0.0000 0.0000 8.2307
ATOMIC_POSITIONS crystal
Re 0.0000 0.0000 0.0000
Re 0.5000 0.5000 0.5000
Os 0.0000 0.0000 0.3388
Os 0.5000 0.5000 0.8388
Rh 0.0000 0.0000 0.6672
Rh 0.5000 0.5000 0.1672
! ΔE_f, kJ/mol of formula units: 117
! Space-group type: No. 107
! Crystal system: tetragonal



[2]
! NaNbO3 GGA-PBEsol optimized geometry; values from VASP
&SYSTEM
  ibrav = 0, nat = 40, ntyp = 3
/
ATOMIC_SPECIES
Na 22.99 Na.upf
Nb 92.91 Nb.upf
O 16.00 O.upf
CELL_PARAMETERS angstrom
5.5268 0.0000 0.0000
0.0000 5.6010 0.0000
0.0000 0.0000 15.5806
ATOMIC_POSITIONS crystal
Na 0.2409 0.2058 0.2500
Na 0.2409 0.2942 0.7500
Na 0.2426 0.2500 0.0000
Na 0.2426 0.2500 0.5000
Na 0.7574 0.7500 0.0000
Na 0.7574 0.7500 0.5000
Na 0.7591 0.7058 0.2500
Na 0.7591 0.7942 0.7500
Nb 0.2556 0.7263 0.1252
Nb 0.2556 0.7263 0.3748
Nb 0.2556 0.7737 0.6252
Nb 0.2556 0.7737 0.8748
Nb 0.7444 0.2263 0.1252
Nb 0.7444 0.2263 0.3748
Nb 0.7444 0.2737 0.6252
Nb 0.7444 0.2737 0.8748
O 0.0416 0.0361 0.6426
O 0.0416 0.0361 0.8574
O 0.0416 0.4639 0.1426
O 0.0416 0.4639 0.3574
O 0.1830 0.7500 0.0000
O 0.1830 0.7500 0.5000
O 0.3182 0.7254 0.7500
O 0.3182 0.7746 0.2500
O 0.4569 0.0445 0.1081
O 0.4569 0.0445 0.3919
O 0.4569 0.4555 0.6081
O 0.4569 0.4555 0.8919
O 0.5431 0.5445 0.1081
O 0.5431 0.5445 0.3919
O 0.5431 0.9555 0.6081
O 0.5431 0.9555 0.8919
O 0.6818 0.2254 0.7500
O 0.6818 0.2746 0.2500
O 0.8170 0.2500 0.0000
O 0.8170 0.2500 0.5000
O 0.9584 0.5361 0.6426
O 0.9584 0.5361 0.8574
O 0.9584 0.9639 0.1426
O 0.9584 0.9639 0.3574
! E_form (uncorrected), eV per atom: -2.42
! Space-group type: No. 57
! Crystal system: orthorhombic